No. 1
## BeAl4Si (PBE)

Data for a relaxed BeAl4Si crystal.

Values from the calculation:
The raw formation energy is 3.09 eV per formula unit. The volume is 16.5 Å³ per atom. The calculation puts the total energy at -21.03 eV/cell. The space group is F-43m. The calculation puts the density of states at the Fermi level at 0.551 states/eV per atom. The magnetic moment comes out at 0.00 μB/cell. Its crystal system is cubic.

abc: 5.193 5.193 5.193
angles: 60.00 60.00 60.00
Sites, in units of the cell vectors:
Be1 0.000 0.000 0.000
Al1 0.375 0.375 0.375
Al2 0.375 0.375 0.876
Al3 0.375 0.876 0.375
Al4 0.876 0.375 0.375
Si1 0.750 0.750 0.750

No. 2
## BeAl2Si (PBE)

Data for a relaxed BeAl2Si crystal.

Values from the calculation:
The raw formation energy is 0.78 eV per formula unit. The volume is 13.9 Å³ per atom. The calculation puts the total energy at -15.86 eV/cell. The space group is P4mm. The calculation puts the density of states at the Fermi level at 0.205 states/eV per atom. The magnetic moment comes out at 0.00 μB/cell. Its crystal system is tetragonal.

abc: 2.740 2.740 7.386
angles: 90.00 90.00 90.00
Sites, in units of the cell vectors:
Be1 0.000 0.000 0.000
Al1 0.000 0.000 0.477
Al2 0.500 0.500 0.766
Si1 0.500 0.500 0.205

No. 3
## BeAl2Si (PBE)

Data for a relaxed BeAl2Si crystal.

Values from the calculation:
The raw formation energy is 1.88 eV per formula unit. The volume is 15.7 Å³ per atom. The calculation puts the total energy at -29.50 eV/cell. The space group is I-42d. The calculation puts the density of states at the Fermi level at 0.494 states/eV per atom. The magnetic moment comes out at 0.00 μB/cell. Its crystal system is tetragonal.

abc: 5.568 5.568 5.568
angles: 102.36 102.36 124.89
Sites, in units of the cell vectors:
Be1 0.000 0.000 0.000
Be2 0.750 0.250 0.500
Al1 0.104 0.625 0.979
Al2 0.375 0.354 0.479
Al3 0.646 0.125 0.021
Al4 0.875 0.896 0.521
Si1 0.250 0.750 0.500
Si2 0.500 0.500 0.000

No. 4
## BeAl2Si (PBE)

Data for a relaxed BeAl2Si crystal.

Values from the calculation:
The raw formation energy is 1.32 eV per formula unit. The volume is 14.5 Å³ per atom. The calculation puts the total energy at -15.31 eV/cell. The space group is Immm. The calculation puts the density of states at the Fermi level at 0.351 states/eV per atom. The magnetic moment comes out at 0.00 μB/cell. Its crystal system is orthorhombic.

abc: 5.494 5.494 5.494
angles: 152.81 129.61 58.20
Sites, in units of the cell vectors:
Be1 0.000 0.000 0.000
Al1 0.224 0.724 0.500
Al2 0.776 0.276 0.500
Si1 0.500 0.500 0.000

No. 5
## Sm2Be4AlSi3 (PBE)

Data for a relaxed Sm2Be4AlSi3 crystal.

Values from the calculation:
The raw formation energy is -3.80 eV per formula unit. The volume is 15.2 Å³ per atom. The calculation puts the total energy at -48.16 eV/cell. The space group is P-4m2. The calculation puts the density of states at the Fermi level at 0.278 states/eV per atom. The magnetic moment comes out at 0.00 μB/cell. Its crystal system is tetragonal.

abc: 3.945 3.945 9.755
angles: 90.00 90.00 90.00
Sites, in units of the cell vectors:
Sm1 0.000 0.500 0.244
Sm2 0.500 0.000 0.756
Be1 0.000 0.000 0.000
Be2 0.000 0.500 0.639
Be3 0.500 0.000 0.361
Be4 0.500 0.500 0.000
Al1 0.000 0.000 0.500
Si1 0.000 0.500 0.872
Si2 0.500 0.000 0.128
Si3 0.500 0.500 0.500

No. 6
## SrBe2AlSi (PBE)

Data for a relaxed SrBe2AlSi crystal.

Values from the calculation:
The raw formation energy is 2.58 eV per formula unit. The volume is 19.8 Å³ per atom. The calculation puts the total energy at -15.72 eV/cell. The space group is P4/mmm. The calculation puts the density of states at the Fermi level at 0.630 states/eV per atom. The magnetic moment comes out at 0.00 μB/cell. Its crystal system is tetragonal.

abc: 4.416 4.416 5.080
angles: 90.00 90.00 90.00
Sites, in units of the cell vectors:
Sr1 0.000 0.000 0.000
Be1 0.000 0.500 0.500
Be2 0.500 0.000 0.500
Al1 0.500 0.500 0.000
Si1 0.500 0.500 0.500

No. 7
## SmBeAl (PBE)

Data for a relaxed SmBeAl crystal.

Values from the calculation:
The volume is 20.6 Å³ per atom. The calculation puts the total energy at -25.48 eV/cell. The space group is I4_1md. The value obtained for the energy relative to the lowest polymorph listed for this composition is 25 meV/atom. The calculation puts the density of states at the Fermi level at 1.322 states/eV per atom. The magnetic moment comes out at 0.00 μB/cell. For the formation energy, the calculation gives -53 kJ/mol of formula units. Its crystal system is tetragonal.

abc: 7.810 7.810 7.810
angles: 149.32 149.32 43.94
Sites, in units of the cell vectors:
Sm1 0.000 0.000 0.000
Sm2 0.750 0.250 0.500
Be1 0.165 0.665 0.500
Be2 0.415 0.415 0.000
Al1 0.333 0.833 0.500
Al2 0.583 0.583 0.000

No. 8
## SmBeAl (PBE)

Data for a relaxed SmBeAl crystal.

Values from the calculation:
The volume is 20.2 Å³ per atom. The calculation puts the total energy at -12.82 eV/cell. The space group is P-6m2. The value obtained for the energy relative to the lowest polymorph listed for this composition is 0 meV/atom. The calculation puts the density of states at the Fermi level at 0.533 states/eV per atom. The magnetic moment comes out at 0.00 μB/cell. For the formation energy, the calculation gives -61 kJ/mol of formula units. Its crystal system is hexagonal.

abc: 4.337 4.337 3.718
angles: 90.00 90.00 120.00
Sites, in units of the cell vectors:
Sm1 0.000 0.000 0.000
Be1 0.333 0.667 0.500
Al1 0.667 0.333 0.500

No. 9
## SmBeAl (PBE)

Data for a relaxed SmBeAl crystal.

Values from the calculation:
The volume is 20.6 Å³ per atom. The calculation puts the total energy at -12.66 eV/cell. The space group is F-43m. The value obtained for the energy relative to the lowest polymorph listed for this composition is 52 meV/atom. The calculation puts the density of states at the Fermi level at 0.146 states/eV per atom. The magnetic moment comes out at 0.00 μB/cell. For the formation energy, the calculation gives -46 kJ/mol of formula units. Its crystal system is cubic.

abc: 4.440 4.440 4.440
angles: 60.00 60.00 60.00
Sites, in units of the cell vectors:
Sm1 0.000 0.000 0.000
Be1 0.250 0.250 0.250
Al1 0.500 0.500 0.500

No. 10
## TbSmBeAl (PBE)

Data for a relaxed TbSmBeAl crystal.

Values from the calculation:
The volume is 22.8 Å³ per atom. The calculation puts the total energy at -17.20 eV/cell. The space group is F-43m. The calculation puts the density of states at the Fermi level at 1.049 states/eV per atom. The magnetic moment comes out at 0.00 μB/cell. For the formation energy, the calculation gives -37 kJ/mol of formula units. Its crystal system is cubic.

abc: 5.052 5.052 5.052
angles: 60.00 60.00 60.00
Sites, in units of the cell vectors:
Tb1 0.000 0.000 0.000
Sm1 0.500 0.500 0.500
Be1 0.750 0.750 0.750
Al1 0.250 0.250 0.250

No. 11
## SmTmBeAl (PBE)

Data for a relaxed SmTmBeAl crystal.

Values from the calculation:
The volume is 22.1 Å³ per atom. The calculation puts the total energy at -17.09 eV/cell. The space group is F-43m. The calculation puts the density of states at the Fermi level at 0.834 states/eV per atom. The magnetic moment comes out at 0.00 μB/cell. For the formation energy, the calculation gives -41 kJ/mol of formula units. Its crystal system is cubic.

abc: 5.004 5.004 5.004
angles: 60.00 60.00 60.00
Sites, in units of the cell vectors:
Sm1 0.000 0.000 0.000
Tm1 0.500 0.500 0.500
Be1 0.750 0.750 0.750
Al1 0.250 0.250 0.250

No. 12
## SmYBeAl (PBE)

Data for a relaxed SmYBeAl crystal.

Values from the calculation:
The volume is 22.7 Å³ per atom. The calculation puts the total energy at -19.11 eV/cell. The space group is F-43m. The calculation puts the density of states at the Fermi level at 0.932 states/eV per atom. The magnetic moment comes out at 0.00 μB/cell. For the formation energy, the calculation gives -44 kJ/mol of formula units. Its crystal system is cubic.

abc: 5.047 5.047 5.047
angles: 60.00 60.00 60.00
Sites, in units of the cell vectors:
Sm1 0.000 0.000 0.000
Y1 0.500 0.500 0.500
Be1 0.250 0.250 0.250
Al1 0.750 0.750 0.750